First-principles (PBE) data for an optimized crystal structure of Th2Sn3, as listed in the Alexandria database.

Properties
Energy of formation from the pure elements in eV/atom: -0.3687
Final energy in eV for the cell shown: -28.7
N(E_F) in states/eV per cell: 4.36

Cell: 7.2260 7.2260 7.2260 Å, 41.16 41.16 41.16°
Closest atoms and distances in Å follow each position.
Sites, in units of the cell vectors:
Th 0.0941 0.0941 0.0941  9 Sn 3.27-3.52
Th 0.9059 0.9059 0.9059  9 Sn 3.27-3.52
Sn 0.3289 0.3289 0.3289  3 Sn 2.94
Sn 0.5000 0.5000 0.5000  6 Th 3.27, 2 Sn 3.39
Sn 0.6711 0.6711 0.6711  3 Sn 2.94